First-principles (PBE-GGA) data for an optimized crystal structure of PmNdY2Th, as listed in Alexandria.

Properties
Calculated volume, Å³ per atom: 35.49
Space group: No. 13
Crystal system: monoclinic

Unit cell a=6.545 b=8.687 c=6.341 alpha=100.13 beta=90.00 gamma=90.00
Fractional positions:
Pm (0.000, 0.000, 0.000)
Pm (0.000, 0.000, 0.500)
Nd (0.169, 0.500, 0.750)
Nd (0.831, 0.500, 0.250)
Y (0.678, 0.688, 0.804)
Y (0.678, 0.312, 0.696)
Y (0.322, 0.688, 0.304)
Y (0.322, 0.312, 0.196)
Th (0.553, 0.000, 0.250)
Th (0.447, 0.000, 0.750)


First-principles (PBE-GGA) data for an optimized crystal structure of PmNdY5Th2, as listed in Alexandria.

Properties
Calculated volume, Å³ per atom: 33.88
Space group: No. 140
Crystal system: tetragonal

Unit cell a=8.901 b=8.901 c=9.943 alpha=116.59 beta=116.59 gamma=90.00
Fractional positions:
Pm (0.250, 0.250, 0.500)
Pm (0.750, 0.750, 0.500)
Nd (0.250, 0.750, 0.500)
Nd (0.750, 0.250, 0.500)
Y (0.930, 0.430, 0.274)
Y (0.656, 0.156, 0.726)
Y (0.070, 0.570, 0.726)
Y (0.156, 0.070, 0.726)
Y (0.570, 0.656, 0.726)
Y (0.844, 0.930, 0.274)
Y (0.430, 0.344, 0.274)
Y (0.344, 0.844, 0.274)
Y (0.500, 0.500, 0.000)
Y (0.000, 0.000, 0.000)
Th (0.118, 0.382, 0.000)
Th (0.618, 0.118, 0.000)
Th (0.382, 0.882, 0.000)
Th (0.882, 0.618, 0.000)


First-principles (PBE-GGA) data for an optimized crystal structure of Pm2NdY5Th, as listed in Alexandria.

Properties
Calculated volume, Å³ per atom: 33.11
Space group: No. 140
Crystal system: tetragonal

Unit cell a=8.766 b=8.766 c=9.928 alpha=116.20 beta=116.20 gamma=90.00
Fractional positions:
Pm (0.116, 0.384, 0.000)
Pm (0.616, 0.116, 0.000)
Pm (0.384, 0.884, 0.000)
Pm (0.884, 0.616, 0.000)
Nd (0.250, 0.750, 0.500)
Nd (0.750, 0.250, 0.500)
Y (0.927, 0.427, 0.276)
Y (0.651, 0.151, 0.724)
Y (0.073, 0.573, 0.724)
Y (0.151, 0.073, 0.724)
Y (0.573, 0.651, 0.724)
Y (0.849, 0.927, 0.276)
Y (0.427, 0.349, 0.276)
Y (0.349, 0.849, 0.276)
Y (0.500, 0.500, 0.000)
Y (0.000, 0.000, 0.000)
Th (0.250, 0.250, 0.500)
Th (0.750, 0.750, 0.500)


First-principles (PBE-GGA) data for an optimized crystal structure of PmNd2YTh, as listed in Alexandria.

Properties
Calculated volume, Å³ per atom: 35.20
Space group: No. 13
Crystal system: monoclinic

Unit cell a=8.557 b=6.412 c=6.609 alpha=103.92 beta=90.00 gamma=90.00
Fractional positions:
Pm (0.092, 0.500, 0.750)
Pm (0.908, 0.500, 0.250)
Nd (0.673, 0.717, 0.660)
Nd (0.673, 0.283, 0.840)
Nd (0.327, 0.717, 0.160)
Nd (0.327, 0.283, 0.340)
Y (0.662, 0.000, 0.250)
Y (0.338, 0.000, 0.750)
Th (0.000, 0.000, 0.000)
Th (0.000, 0.000, 0.500)


First-principles (PBE-GGA) data for an optimized crystal structure of Pm5NdY2Th, as listed in Alexandria.

Properties
Calculated volume, Å³ per atom: 34.40
Space group: No. 36
Crystal system: orthorhombic

Unit cell a=5.725 b=10.605 c=10.592 alpha=90.00 beta=90.00 gamma=105.66
Fractional positions:
Pm (0.390, 0.781, 0.027)
Pm (0.722, 0.444, 0.813)
Pm (0.477, 0.955, 0.741)
Pm (0.294, 0.587, 0.704)
Pm (0.983, 0.966, 0.523)
Pm (0.610, 0.219, 0.527)
Pm (0.278, 0.556, 0.313)
Pm (0.523, 0.045, 0.241)
Pm (0.706, 0.413, 0.204)
Pm (0.017, 0.034, 0.023)
Nd (0.589, 0.179, 0.949)
Nd (0.411, 0.821, 0.449)
Y (0.883, 0.767, 0.821)
Y (0.113, 0.226, 0.733)
Y (0.117, 0.233, 0.321)
Y (0.887, 0.774, 0.233)
Th (0.799, 0.598, 0.512)
Th (0.201, 0.402, 0.012)


First-principles (PBE-GGA) data for an optimized crystal structure of PmNd3YTh, as listed in Alexandria.

Properties
Calculated volume, Å³ per atom: 34.44
Space group: No. 12
Crystal system: monoclinic

Unit cell a=5.777 b=10.703 c=6.946 alpha=88.20 beta=90.00 gamma=105.65
Fractional positions:
Pm (0.356, 0.712, 0.963)
Pm (0.644, 0.288, 0.037)
Nd (0.843, 0.685, 0.254)
Nd (0.781, 0.561, 0.755)
Nd (0.482, 0.964, 0.249)
Nd (0.219, 0.439, 0.245)
Nd (0.518, 0.036, 0.751)
Nd (0.157, 0.315, 0.746)
Y (0.649, 0.298, 0.477)
Y (0.351, 0.702, 0.523)
Th (0.058, 0.116, 0.284)
Th (0.942, 0.884, 0.716)


The calculation returns the following E_tot values, one per record and in order: -56.6, -107.7, -103.0, -53.9, -94.9, -63.4 eV for the cell shown.
The calculation returns the following energy relative to the elements values, one per record and in order: 0.3110, 0.3118, 0.2777, 0.2446, 0.1565, 0.2064 eV/atom.